LiPr2AlS5 | PBE | optimized geometry

Values from the calculation:
V: 21.00 Å³/atom
Spin magnetization: 0.00 μB/cell
Formation energy from raw total energies: -1682 meV/atom
Energy: -102.0 eV/cell

Geometry as POSCAR:
```
LiPr2AlS5
1.0
1.9509 -8.4932 0.0000
1.9509 8.4932 0.0000
0.0000 0.0000 11.4087
Li Pr Al S
2 4 2 10
direct
0.2147 0.7853 0.5000
0.7853 0.2147 0.0000
0.1221 0.8779 0.1643
0.1319 0.8681 0.7856
0.8681 0.1319 0.2856
0.8779 0.1221 0.6643
0.4301 0.5699 0.9355
0.5699 0.4301 0.4355
0.0447 0.9553 0.5369
0.2939 0.7061 0.1456
0.3141 0.6859 0.8382
0.3577 0.6423 0.4811
0.4981 0.5019 0.7635
0.5019 0.4981 0.2635
0.6423 0.3577 0.9811
0.6859 0.3141 0.3382
0.7061 0.2939 0.6456
0.9553 0.0447 0.0369
```